No. 1
The following is a DFT calculation (PBE-GGA) of a geometry-optimized BaMn2Ni structure.

Calculated values
Formation enthalpy at 0 K: 0.624 eV/atom
Calculated density: 4.795 g/cm³
Energy above the most stable polymorph in this dataset: 0.367 eV per atom
V: 105.9 Å³/f.u.
Total energy: -5.89 eV/atom

Structure (CIF):
```
data_BaMn2Ni
_space_group_name_H-M_alt 'I 41/a m d'
_space_group_IT_number 141
_cell_length_a 5.119
_cell_length_b 5.119
_cell_length_c 16.174
_cell_angle_alpha 90.00
_cell_angle_beta 90.00
_cell_angle_gamma 90.00
loop_
_space_group_symop_operation_xyz
'x,y,z'
'-x,-y,-z'
'-y+1/4,x+3/4,z+1/4'
'y+1/4,-x+3/4,-z+1/4'
'-x+1/2,-y,z+1/2'
'x+1/2,y,-z+1/2'
'y+1/4,-x+1/4,z+3/4'
'-y+1/4,x+1/4,-z+3/4'
'x,-y,-z'
'-x,y,z'
'-y+1/4,-x+1/4,-z+3/4'
'y+1/4,x+1/4,z+3/4'
'-x+1/2,y,-z+1/2'
'x+1/2,-y,z+1/2'
'y+1/4,x+3/4,-z+1/4'
'-y+1/4,-x+3/4,z+1/4'
'x+1/2,y+1/2,z+1/2'
'-x+1/2,-y+1/2,-z+1/2'
'-y+3/4,x+1/4,z+3/4'
'y+3/4,-x+1/4,-z+3/4'
'-x,-y+1/2,z'
'x,y+1/2,-z'
'y+3/4,-x+3/4,z+1/4'
'-y+3/4,x+3/4,-z+1/4'
'x+1/2,-y+1/2,-z+1/2'
'-x+1/2,y+1/2,z+1/2'
'-y+3/4,-x+3/4,-z+1/4'
'y+3/4,x+3/4,z+1/4'
'-x,y+1/2,-z'
'x,-y+1/2,z'
'y+3/4,x+1/4,-z+3/4'
'-y+3/4,-x+1/4,z+3/4'
loop_
_atom_site_label
_atom_site_type_symbol
_atom_site_fract_x
_atom_site_fract_y
_atom_site_fract_z
_atom_site_occupancy
Ba1 Ba 0.000 0.250 0.375 1
Mn1 Mn 0.000 0.000 0.000 1
Ni1 Ni 0.000 0.250 0.875 1
```

No. 2
The following is a DFT calculation (PBE-GGA) of a geometry-optimized LaInFe3 structure.

Calculated values
Formation enthalpy at 0 K: 0.941 eV/atom
Calculated density: 6.038 g/cm³
Energy above the most stable polymorph in this dataset: 0.000 eV per atom
V: 115.9 Å³/f.u.
Total energy: -5.67 eV/atom

Structure (CIF):
```
data_LaInFe3
_space_group_name_H-M_alt 'P m -3 m'
_space_group_IT_number 221
_space_group_name_Hall '-P 4 2 3'
_cell_length_a 4.875
_cell_length_b 4.875
_cell_length_c 4.875
_cell_angle_alpha 90.00
_cell_angle_beta 90.00
_cell_angle_gamma 90.00
loop_
_atom_site_label
_atom_site_type_symbol
_atom_site_fract_x
_atom_site_fract_y
_atom_site_fract_z
_atom_site_occupancy
La1 La 0.000 0.000 0.000 1
In1 In 0.500 0.500 0.500 1
Fe1 Fe 0.000 0.500 0.500 1
```

No. 3
The following is a DFT calculation (PBE-GGA) of a geometry-optimized LiZnFe structure.

Calculated values
Formation enthalpy at 0 K: 0.505 eV/atom
Calculated density: 4.401 g/cm³
Energy above the most stable polymorph in this dataset: 0.528 eV per atom
V: 48.4 Å³/f.u.
Total energy: -3.38 eV/atom

Structure (CIF):
```
data_LiZnFe
_space_group_name_H-M_alt 'F -4 3 m'
_space_group_IT_number 216
_space_group_name_Hall 'F -4 2 3'
_cell_length_a 5.784
_cell_length_b 5.784
_cell_length_c 5.784
_cell_angle_alpha 90.00
_cell_angle_beta 90.00
_cell_angle_gamma 90.00
loop_
_atom_site_label
_atom_site_type_symbol
_atom_site_fract_x
_atom_site_fract_y
_atom_site_fract_z
_atom_site_occupancy
Li1 Li 0.000 0.000 0.000 1
Zn1 Zn 0.250 0.250 0.250 1
Fe1 Fe 0.000 0.000 0.500 1
```

No. 4
The following is a DFT calculation (PBE-GGA) of a geometry-optimized Li2TaAg structure.

Calculated values
Formation enthalpy at 0 K: 0.304 eV/atom
Calculated density: 7.439 g/cm³
Energy above the most stable polymorph in this dataset: 0.161 eV per atom
V: 67.6 Å³/f.u.
Total energy: -4.33 eV/atom

Structure (CIF):
```
data_Li2TaAg
_space_group_name_H-M_alt 'C 1 2/m 1'
_space_group_IT_number 12
_space_group_name_Hall '-C 2y'
_cell_length_a 9.750
_cell_length_b 2.676
_cell_length_c 5.216
_cell_angle_alpha 90.00
_cell_angle_beta 96.76
_cell_angle_gamma 90.00
loop_
_atom_site_label
_atom_site_type_symbol
_atom_site_fract_x
_atom_site_fract_y
_atom_site_fract_z
_atom_site_occupancy
Li1 Li 0.245 0.000 0.245 1
Ta1 Ta 0.000 0.000 0.500 1
Ag1 Ag 0.000 0.500 0.000 1
```

No. 5
The following is a DFT calculation (PBE-GGA) of a geometry-optimized CaGdHoTl structure.

Calculated values
Formation enthalpy at 0 K: -0.048 eV/atom
Calculated density: 7.889 g/cm³
V: 119.3 Å³/f.u.
Total energy: -5.80 eV/atom

Structure (CIF):
```
data_CaGdHoTl
_space_group_name_H-M_alt 'F -4 3 m'
_space_group_IT_number 216
_space_group_name_Hall 'F -4 2 3'
_cell_length_a 7.814
_cell_length_b 7.814
_cell_length_c 7.814
_cell_angle_alpha 90.00
_cell_angle_beta 90.00
_cell_angle_gamma 90.00
loop_
_atom_site_label
_atom_site_type_symbol
_atom_site_fract_x
_atom_site_fract_y
_atom_site_fract_z
_atom_site_occupancy
Ca1 Ca 0.000 0.000 0.000 1
Gd1 Gd 0.250 0.250 0.750 1
Ho1 Ho 0.250 0.250 0.250 1
Tl1 Tl 0.000 0.000 0.500 1
```

No. 6
The following is a DFT calculation (PBE-GGA) of a geometry-optimized InCo2Os structure.

Calculated values
Formation enthalpy at 0 K: 0.591 eV/atom
Calculated density: 11.935 g/cm³
V: 58.8 Å³/f.u.
Total energy: -6.45 eV/atom

Structure (CIF):
```
data_InCo2Os
_space_group_name_H-M_alt 'C m m 2'
_space_group_IT_number 35
_space_group_name_Hall 'C 2 -2'
_cell_length_a 2.933
_cell_length_b 4.645
_cell_length_c 8.637
_cell_angle_alpha 90.00
_cell_angle_beta 90.00
_cell_angle_gamma 90.00
loop_
_atom_site_label
_atom_site_type_symbol
_atom_site_fract_x
_atom_site_fract_y
_atom_site_fract_z
_atom_site_occupancy
In1 In 0.000 0.000 0.000 1
Co1 Co 0.000 0.000 0.478 1
Co2 Co 0.000 0.500 0.263 1
Os1 Os 0.000 0.500 0.715 1
```

No. 7
The following is a DFT calculation (PBE-GGA) of a geometry-optimized NaCoOs structure.

Calculated values
Formation enthalpy at 0 K: 0.584 eV/atom
Calculated density: 9.395 g/cm³
Energy above the most stable polymorph in this dataset: 0.150 eV per atom
V: 48.1 Å³/f.u.
Total energy: -5.97 eV/atom

Structure (CIF):
```
data_NaCoOs
_space_group_name_H-M_alt 'I 4 m m'
_space_group_IT_number 107
_space_group_name_Hall 'I 4 -2'
_cell_length_a 2.723
_cell_length_b 2.723
_cell_length_c 12.973
_cell_angle_alpha 90.00
_cell_angle_beta 90.00
_cell_angle_gamma 90.00
loop_
_atom_site_label
_atom_site_type_symbol
_atom_site_fract_x
_atom_site_fract_y
_atom_site_fract_z
_atom_site_occupancy
Na1 Na 0.000 0.000 0.000 1
Co1 Co 0.000 0.000 0.687 1
Os1 Os 0.000 0.000 0.301 1
```

No. 8
The following is a DFT calculation (PBE-GGA) of a geometry-optimized Al2CuSb structure.

Calculated values
Calculated density: 4.073 g/cm³
V: 97.6 Å³/f.u.
Total energy: -3.60 eV/atom

Structure (CIF):
```
data_Al2CuSb
_space_group_name_H-M_alt 'I -4 2 d'
_space_group_IT_number 122
_space_group_name_Hall 'I -4 2bw'
_cell_length_a 6.474
_cell_length_b 6.474
_cell_length_c 9.311
_cell_angle_alpha 90.00
_cell_angle_beta 90.00
_cell_angle_gamma 90.00
loop_
_atom_site_label
_atom_site_type_symbol
_atom_site_fract_x
_atom_site_fract_y
_atom_site_fract_z
_atom_site_occupancy
Al1 Al 0.216 0.250 0.125 1
Cu1 Cu 0.000 0.000 0.000 1
Sb1 Sb 0.000 0.000 0.500 1
```

No. 9
The following is a DFT calculation (PBE-GGA) of a geometry-optimized Cd2InCoHg structure.

Calculated values
Formation enthalpy at 0 K: 0.344 eV/atom
Calculated density: 7.835 g/cm³
V: 127.0 Å³/f.u.
Total energy: -2.05 eV/atom

Structure (CIF):
```
data_Cd2InCoHg
_space_group_name_H-M_alt 'P 4/m m m'
_space_group_IT_number 123
_space_group_name_Hall '-P 4 2'
_cell_length_a 5.023
_cell_length_b 5.023
_cell_length_c 5.033
_cell_angle_alpha 90.00
_cell_angle_beta 90.00
_cell_angle_gamma 90.00
loop_
_atom_site_label
_atom_site_type_symbol
_atom_site_fract_x
_atom_site_fract_y
_atom_site_fract_z
_atom_site_occupancy
Cd1 Cd 0.000 0.500 0.000 1
In1 In 0.000 0.000 0.500 1
Co1 Co 0.500 0.500 0.000 1
Hg1 Hg 0.500 0.500 0.500 1
```

No. 10
The following is a DFT calculation (PBE-GGA) of a geometry-optimized AlOs2Br structure.

Calculated values
Calculated density: 12.528 g/cm³
Energy above the most stable polymorph in this dataset: 0.879 eV per atom
V: 64.6 Å³/f.u.
Total energy: -5.83 eV/atom

Structure (CIF):
```
data_AlOs2Br
_space_group_name_H-M_alt 'F -4 3 m'
_space_group_IT_number 216
_space_group_name_Hall 'F -4 2 3'
_cell_length_a 6.369
_cell_length_b 6.369
_cell_length_c 6.369
_cell_angle_alpha 90.00
_cell_angle_beta 90.00
_cell_angle_gamma 90.00
loop_
_atom_site_label
_atom_site_type_symbol
_atom_site_fract_x
_atom_site_fract_y
_atom_site_fract_z
_atom_site_occupancy
Al1 Al 0.000 0.000 0.000 1
Os1 Os 0.000 0.000 0.500 1
Os2 Os 0.250 0.250 0.750 1
Br1 Br 0.250 0.250 0.250 1
```